Entry 1:
# RbCaFeBr5 (PBE, optimized geometry)
data_RbCaFeBr5
_chemical_formula_sum 'Rb2 Ca2 Fe2 Br10'
_cell_length_a 8.012
_cell_length_b 8.012
_cell_length_c 10.434
_cell_angle_alpha 103.86
_cell_angle_beta 103.86
_cell_angle_gamma 105.97
_symmetry_space_group_name_H-M 'P 1'
_symmetry_Int_Tables_number 1
loop_
_symmetry_equiv_pos_as_xyz
'x,y,z'
loop_
_atom_site_label
_atom_site_fract_x
_atom_site_fract_y
_atom_site_fract_z
Rb1 0.154 0.846 0.750
Rb2 0.846 0.154 0.250
Ca1 0.500 0.500 0.000
Ca2 0.500 0.500 0.500
Fe1 0.185 0.815 0.250
Fe2 0.815 0.185 0.750
Br1 0.110 0.253 0.930
Br2 0.178 0.596 0.379
Br3 0.253 0.110 0.430
Br4 0.404 0.822 0.121
Br5 0.418 0.582 0.750
Br6 0.582 0.418 0.250
Br7 0.596 0.178 0.879
Br8 0.747 0.890 0.570
Br9 0.822 0.404 0.621
Br10 0.890 0.747 0.070
# * total DFT energy (no corrections): -3.82 eV/atom
# * Fermi-level density of states: 6.6 states/eV/f.u.
# * total magnetization: 0.500 μB per atom
# * uncorrected formation energy: -1348.2 meV per atom
# * V: 295.35 Å³/f.u.

Entry 2:
# Sr2Li3YBi4 (PBE, optimized geometry)
data_Sr2Li3YBi4
_chemical_formula_sum 'Sr2 Li3 Y1 Bi4'
_cell_length_a 4.952
_cell_length_b 4.952
_cell_length_c 12.094
_cell_angle_alpha 90.00
_cell_angle_beta 90.00
_cell_angle_gamma 90.00
_symmetry_space_group_name_H-M 'P 1'
_symmetry_Int_Tables_number 1
loop_
_symmetry_equiv_pos_as_xyz
'x,y,z'
loop_
_atom_site_label
_atom_site_fract_x
_atom_site_fract_y
_atom_site_fract_z
Sr1 0.000 0.500 0.221
Sr2 0.500 0.000 0.779
Li1 0.000 0.500 0.880
Li2 0.500 0.000 0.120
Li3 0.500 0.500 0.500
Y1 0.000 0.000 0.500
Bi1 0.000 0.000 0.000
Bi2 0.000 0.500 0.651
Bi3 0.500 0.000 0.349
Bi4 0.500 0.500 0.000
# * total DFT energy (no corrections): -3.78 eV/atom
# * Fermi-level density of states: 2.9 states/eV/f.u.
# * total magnetization: 0.000 μB per atom
# * energy of formation: -0.672 eV per atom
# * V: 296.54 Å³/f.u.

Entry 3:
# Co2Ni8Pd3 (PBE, optimized geometry)
data_Co2Ni8Pd3
_chemical_formula_sum 'Co2 Ni8 Pd3'
_cell_length_a 5.856
_cell_length_b 3.684
_cell_length_c 7.758
_cell_angle_alpha 90.00
_cell_angle_beta 102.48
_cell_angle_gamma 90.00
_symmetry_space_group_name_H-M 'P 1'
_symmetry_Int_Tables_number 1
loop_
_symmetry_equiv_pos_as_xyz
'x,y,z'
loop_
_atom_site_label
_atom_site_fract_x
_atom_site_fract_y
_atom_site_fract_z
Co1 0.194 0.000 0.079
Co2 0.806 0.000 0.921
Ni1 0.058 0.000 0.345
Ni2 0.086 0.500 0.873
Ni3 0.342 0.500 0.258
Ni4 0.384 0.000 0.833
Ni5 0.616 0.000 0.167
Ni6 0.658 0.500 0.742
Ni7 0.914 0.500 0.127
Ni8 0.942 0.000 0.655
Pd1 0.222 0.500 0.588
Pd2 0.500 0.000 0.500
Pd3 0.778 0.500 0.412
# * total DFT energy (no corrections): -5.70 eV/atom
# * Fermi-level density of states: 18.7 states/eV/f.u.
# * total magnetization: 0.757 μB per atom
# * energy of formation: 0.151 eV per atom
# * V: 163.43 Å³/f.u.

Entry 4:
# SmDy4Er3S8 (PBE, optimized geometry)
data_SmDy4Er3S8
_chemical_formula_sum 'Sm1 Dy4 Er3 S8'
_cell_length_a 7.805
_cell_length_b 7.805
_cell_length_c 7.805
_cell_angle_alpha 60.05
_cell_angle_beta 60.05
_cell_angle_gamma 60.05
_symmetry_space_group_name_H-M 'P 1'
_symmetry_Int_Tables_number 1
loop_
_symmetry_equiv_pos_as_xyz
'x,y,z'
loop_
_atom_site_label
_atom_site_fract_x
_atom_site_fract_y
_atom_site_fract_z
Sm1 0.000 0.000 0.000
Dy1 0.000 0.000 0.500
Dy2 0.000 0.500 0.000
Dy3 0.500 0.000 0.000
Dy4 0.500 0.500 0.500
Er1 0.000 0.500 0.500
Er2 0.500 0.000 0.500
Er3 0.500 0.500 0.000
S1 0.251 0.251 0.251
S2 0.253 0.253 0.744
S3 0.253 0.744 0.253
S4 0.256 0.747 0.747
S5 0.744 0.253 0.253
S6 0.747 0.256 0.747
S7 0.747 0.747 0.256
S8 0.749 0.749 0.749
# * total DFT energy (no corrections): -6.34 eV/atom
# * Fermi-level density of states: 8.9 states/eV/f.u.
# * total magnetization: 0.000 μB per atom
# * uncorrected formation energy: -1975.5 meV per atom
# * V: 336.59 Å³/f.u.